A crystal of La3CdO relaxed with PBEsol, computed with meta-GGA SCAN.

Results
The density of states at the Fermi level is 3.14 states/eV per cell. For the density, the calculation gives 7.215 g cm⁻³. The calculation puts the spin magnetization at 0.00 μB/f.u. Its formation energy without anion corrections is -1.4703 eV per atom.

abc: 5.006 5.006 5.006
angles: 90.00 90.00 90.00
Positions (direct):
La: 0.000 0.000 0.500
La: 0.000 0.500 0.000
La: 0.500 0.000 0.000
Cd: 0.500 0.500 0.500
O: 0.000 0.000 0.000

---

A crystal of CaTaCd2Si relaxed with PBEsol, computed with meta-GGA SCAN.

Results
The density of states at the Fermi level is 3.85 states/eV per cell. For the density, the calculation gives 5.805 g cm⁻³. The calculation puts the spin magnetization at 0.00 μB/f.u. Its formation energy without anion corrections is 2.0798 eV per atom.

abc: 5.222 5.222 4.971
angles: 90.00 90.00 90.00
Positions (direct):
Ca: 0.000 0.000 0.000
Ta: 0.000 0.000 0.500
Cd: 0.000 0.500 0.000
Cd: 0.500 0.000 0.000
Si: 0.500 0.500 0.500

---

A crystal of BaSiPb2 relaxed with PBEsol, computed with meta-GGA SCAN.

Results
The density of states at the Fermi level is 2.23 states/eV per cell. For the density, the calculation gives 8.256 g cm⁻³. The calculation puts the spin magnetization at 0.00 μB/f.u. Its formation energy without anion corrections is -0.1173 eV per atom.

abc: 6.513 6.513 6.513
angles: 147.53 127.37 63.21
Positions (direct):
Ba: 0.000 0.000 0.000
Si: 0.500 0.500 0.000
Pb: 0.292 0.792 0.500
Pb: 0.708 0.208 0.500

---

A crystal of BaHgRh2 relaxed with PBEsol, computed with meta-GGA SCAN.

Results
The density of states at the Fermi level is 1.96 states/eV per cell. For the density, the calculation gives 9.006 g cm⁻³. The calculation puts the spin magnetization at 0.00 μB/f.u. For the energy of formation, the calculation gives -0.21 eV/atom.

abc: 6.039 6.039 6.039
angles: 45.01 45.01 45.01
Positions (direct):
Ba: 0.000 0.000 0.000
Hg: 0.500 0.500 0.500
Rh: 0.178 0.178 0.178
Rh: 0.822 0.822 0.822

---

A crystal of BeAg relaxed with PBEsol, computed with meta-GGA SCAN.

Results
The density of states at the Fermi level is 1.23 states/eV per cell. For the density, the calculation gives 7.539 g cm⁻³. The calculation puts the spin magnetization at 0.00 μB/f.u. For the energy of formation, the calculation gives 0.21 eV/atom.

abc: 2.775 2.775 7.721
angles: 90.00 90.00 120.00
Positions (direct):
Be: 0.333 0.667 0.250
Be: 0.667 0.333 0.750
Ag: 0.000 0.000 0.000
Ag: 0.000 0.000 0.500

---

A crystal of CsReP2O relaxed with PBEsol, computed with meta-GGA SCAN.

Results
The density of states at the Fermi level is 1.95 states/eV per cell. For the density, the calculation gives 5.884 g cm⁻³. The calculation puts the spin magnetization at 3.66 μB/f.u. Its formation energy without anion corrections is 2.4496 eV per atom.

abc: 5.226 5.226 4.103
angles: 90.00 90.00 90.00
Positions (direct):
Cs: 0.000 0.000 0.000
Re: 0.500 0.500 0.500
P: 0.000 0.500 0.000
P: 0.500 0.000 0.000
O: 0.000 0.000 0.500

---

A crystal of KTa2Br relaxed with PBEsol, computed with meta-GGA SCAN.

Results
The density of states at the Fermi level is 4.26 states/eV per cell. For the density, the calculation gives 9.543 g cm⁻³. The calculation puts the spin magnetization at 0.00 μB/f.u. Its formation energy without anion corrections is 2.1032 eV per atom.

abc: 5.264 5.264 3.020
angles: 90.00 90.00 90.00
Positions (direct):
K: 0.000 0.000 0.000
Ta: 0.000 0.500 0.500
Ta: 0.500 0.000 0.500
Br: 0.500 0.500 0.000

---

A crystal of Zr2Ti2Hg relaxed with PBEsol, computed with meta-GGA SCAN.

Results
The density of states at the Fermi level is 5.16 states/eV per cell. For the density, the calculation gives 7.822 g cm⁻³. The calculation puts the spin magnetization at 0.00 μB/f.u. For the energy of formation, the calculation gives 0.50 eV/atom.

abc: 6.928 6.928 6.928
angles: 146.35 146.35 48.32
Positions (direct):
Zr: 0.250 0.750 0.500
Zr: 0.750 0.250 0.500
Ti: 0.081 0.081 0.000
Ti: 0.919 0.919 0.000
Hg: 0.500 0.500 0.000